Computed, not measured: an optimized crystal structure of Zn3GaB at the PBE-GGA level of DFT.

Its total DFT energy (no corrections) is -1.480 eV per atom. The energy relative to the lowest polymorph listed for this composition is 0.8773 eV/atom. As for the formation energy: 1.2255 eV per atom. Its spin magnetization is 0.00 μB per formula unit. For the volume, the calculation gives 21.00 Å³/atom. Its space group is Pm-3m. As for the density of states at the Fermi level: 0.6531 states/eV/atom.

Lattice parameters (Å, degrees): 4.718 4.718 4.718 90.00 90.00 90.00
Fractional positions:
B 0.500 0.500 0.500
Ga 0.000 0.000 0.000
Zn 0.000 0.000 0.500
Zn 0.500 0.000 0.000
Zn 0.000 0.500 0.000


Computed, not measured: an optimized crystal structure of KCaTeN2 at the PBE-GGA level of DFT.

The formation energy from raw total energies comes out at 1.26 eV/atom. Its total DFT energy (no corrections) is -3.317 eV per atom. The energy relative to the lowest polymorph listed for this composition is 0.4944 eV/atom. Its spin magnetization is 5.00 μB per formula unit. For the volume, the calculation gives 31.65 Å³/atom. Its space group is P4/mmm. As for the density of states at the Fermi level: 0.4714 states/eV/atom.

Lattice parameters (Å, degrees): 4.872 4.872 6.668 90.00 90.00 90.00
Each line ends with the local moment (μB).
Fractional positions:
K 0.000 0.000 0.000  0.09
N 0.000 0.500 0.000  1.57
N 0.500 0.000 0.000  1.57
Ca 0.500 0.500 0.500  -0.01
Te 0.000 0.000 0.500  0.11